Entry 1:
Computed, not measured: crystalline Sc3TlO at its relaxed geometry at the PBE level of DFT.

Unit cell a=11.774 b=3.412 c=11.026 alpha=90.00 beta=117.79 gamma=90.00
Space group Cm (No. 8)
Inequivalent atoms, fractional coordinates:
Sc1 0.000 0.000 0.000 x2
Sc2 0.009 0.000 0.506 x2
Sc3 0.224 0.000 0.428 x2
Sc4 0.235 0.000 0.915 x2
Sc5 0.258 0.500 0.684 x2
Sc6 0.481 0.000 0.250 x2
Tl1 0.246 0.500 0.211 x2
Tl2 0.493 0.000 0.730 x2
O1 0.116 0.500 0.469 x2
O2 0.426 0.000 0.046 x2

Properties
**Spin magnetization**: 0.000 μB per cell
**ρ**: 6.0 g/cm3
**E_form (uncorrected)**: -6.61 eV/f.u.


Entry 2:
Computed, not measured: crystalline ScTcRuF2 at its relaxed geometry at the PBE level of DFT.

Unit cell a=4.050 b=4.050 c=5.367 alpha=90.00 beta=90.00 gamma=90.00
Space group P4/mmm (No. 123)
Inequivalent atoms, fractional coordinates:
Sc1 0.000 0.000 0.000 x1
Tc1 0.500 0.500 0.000 x1
Ru1 0.000 0.000 0.500 x1
F1 0.000 0.500 0.500 x2

Properties
**Spin magnetization**: 3.906 μB per cell
**ρ**: 5.3 g/cm3
**E_form (uncorrected)**: 0.06 eV/f.u.


Entry 3:
Computed, not measured: crystalline Dy2CuPbS4 at its relaxed geometry at the PBE level of DFT.

Unit cell a=3.881 b=13.162 c=13.764 alpha=90.00 beta=90.00 gamma=90.00
Space group Cmcm (No. 63)
Inequivalent atoms, fractional coordinates:
Dy1 0.000 0.130 0.061 x8
Cu1 0.000 0.338 0.750 x4
Pb1 0.000 0.381 0.250 x4
S1 0.000 0.059 0.250 x4
S2 0.000 0.228 0.616 x8
S3 0.000 0.500 0.000 x4

Properties
**Spin magnetization**: 0.000 μB per cell
**ρ**: 6.8 g/cm3
**E_form (uncorrected)**: -10.56 eV/f.u.


Entry 4:
Computed, not measured: crystalline LiInBi at its relaxed geometry at the PBE level of DFT.

Unit cell a=5.1731 b=5.1731 c=3.4415 alpha=90.00 beta=90.00 gamma=120.00
Space group P3m1 (No. 156)
Inequivalent atoms, fractional coordinates:
Li1 0.0000 0.0000 0.0000 x1
In1 0.6667 0.3333 0.3176 x1
Bi1 0.3333 0.6667 0.6515 x1

Properties
**Spin magnetization**: 0.000 μB per cell
**ρ**: 6.9 g/cm3
**Polymorph energy (0 for the lowest one)**: 12 meV/atom
**Energy of formation from the pure elements**: -0.168 eV per atom